NaCaLa2C | Alexandria | GGA-PBE | relaxed; E_tot = -21.68 eV/cell
1.0
-4.822 0.197 2.200
0.502 -5.047 1.552
2.187 1.646 4.646
C Na Ca La
1 1 1 2
direct
0.000 0.000 0.000
0.500 0.500 0.500
0.000 0.000 0.500
0.000 0.500 0.000
0.500 0.000 0.000